*A*
First-principles (PBE) data for AcTiCu2 after structural relaxation, as listed in Alexandria via LeMat-Bulk.

Summary:
The density of states at the Fermi level comes out at 4.6 states/eV/cell. Its theoretical density is 8.283 g/cm³.

Unit cell a=3.3603 b=3.3603 c=7.1364 alpha=90.00 beta=90.00 gamma=90.00
Last column: nearest neighbours and their distance in Å.
Positions (direct):
Ac 0.5000 0.5000 0.5000  8 Cu 3.30, 4 Ac 3.36, 2 Ti 3.57
Cu 0.0000 0.0000 0.8213  1 Cu 2.55, 4 Ti 2.70
Cu 0.0000 0.0000 0.1787  1 Cu 2.55, 4 Ti 2.70
Ti 0.5000 0.5000 0.0000  8 Cu 2.70

*B*
First-principles (PBE) data for AcTiCu2 after structural relaxation, as listed in Alexandria via LeMat-Bulk.

Summary:
The density of states at the Fermi level comes out at 5.4 states/eV/cell. Its theoretical density is 7.436 g/cm³.

Unit cell a=4.3730 b=4.3730 c=5.9792 alpha=68.55 beta=68.55 gamma=60.00
Last column: nearest neighbours and their distance in Å.
Positions (direct):
Ac 0.5000 0.5000 0.5000  8 Cu 3.13-3.41
Cu 0.6922 0.6922 0.9234  3 Ti 2.56, 3 Cu 2.66
Cu 0.3078 0.3078 0.0766  3 Ti 2.56, 3 Cu 2.66
Ti 0.0000 0.0000 0.0000  6 Cu 2.56

Energies relative to the most stable structure, in kJ/mol of atoms: *A* 9.0; *B* 0.0.